I2Br2Cl5: relaxed, PBE-GGA.

Results
SG = Ima2, No. 46
Magnetic moment = 0.0000 μB per atom
Raw formation energy = -0.031 eV/atom
Density of states at the Fermi level = 3.44 states/eV/cell
E = -1.773 eV/atom

Cell: 7.675 7.609 14.136 Å, 105.61 105.75 90.00°
Atoms (fractional coordinates):
Cl1 0.053 0.104 0.188
Br1 0.138 0.835 0.342
Cl2 0.207 0.248 0.997
Cl3 0.365 0.416 0.812
Br2 0.638 0.007 0.342
I1 0.718 0.291 0.500
Cl4 0.210 0.752 0.003
Cl5 0.553 0.584 0.188
I2 0.218 0.709 0.500
Cl6 0.719 0.624 0.500
Br3 0.796 0.165 0.658
Cl7 0.865 0.896 0.812
Cl8 0.710 0.752 0.003
Cl9 0.707 0.248 0.997
Cl10 0.219 0.376 0.500
I3 0.459 0.500 0.000
Br4 0.296 0.993 0.658
I4 0.959 0.000 0.000

---

ZnCr2Pb2: relaxed, PBE-GGA.

Results
Energy of formation = 0.58 eV/atom
SG = I4/mmm, No. 139
Magnetic moment = 0.0000 μB per atom
Density of states at the Fermi level = 3.58 states/eV/cell
Distance to the lowest polymorph of the same formula = 0 meV/atom
E = -5.006 eV/atom

Cell: 3.343 3.343 9.317 Å, 79.67 79.67 90.00°
Atoms (fractional coordinates):
Pb1 0.617 0.617 0.766
Cr1 0.750 0.250 0.500
Pb2 0.383 0.383 0.234
Cr2 0.250 0.750 0.500
Zn1 0.000 0.000 0.000

---

DyZn4Ni: relaxed, PBE-GGA.

Results
Energy of formation = -0.18 eV/atom
SG = F-43m, No. 216
Magnetic moment = 0.0001 μB per atom
Density of states at the Fermi level = 4.37 states/eV/cell
Distance to the lowest polymorph of the same formula = 130 meV/atom
E = -2.763 eV/atom

Cell: 5.159 5.159 5.159 Å, 60.00 60.00 60.00°
Atoms (fractional coordinates):
Ni1 0.000 0.000 0.000
Zn1 0.626 0.122 0.626
Zn2 0.626 0.626 0.122
Zn3 0.122 0.626 0.626
Dy1 0.250 0.250 0.250
Zn4 0.626 0.626 0.626

---

SbTe2CN: relaxed, PBE-GGA.

Results
SG = P4/mmm, No. 123
Magnetic moment = 0.0000 μB per atom
Raw formation energy = 1.864 eV/atom
Density of states at the Fermi level = 3.27 states/eV/cell
Distance to the lowest polymorph of the same formula = 905 meV/atom
E = -3.727 eV/atom

Cell: 4.634 4.634 4.797 Å, 90.00 90.00 90.00°
Atoms (fractional coordinates):
C1 0.500 0.500 0.500
Te1 0.000 0.500 0.000
N1 0.000 0.000 0.000
Te2 0.500 0.000 0.000
Sb1 0.000 0.000 0.500

---

KHg2Pd: relaxed, PBE-GGA.

Results
Energy of formation = -0.05 eV/atom
SG = Fm-3m, No. 225
Magnetic moment = 0.0000 μB per atom
Density of states at the Fermi level = 0.79 states/eV/cell
Distance to the lowest polymorph of the same formula = 168 meV/atom
E = -1.771 eV/atom

Cell: 5.203 5.203 5.203 Å, 60.00 60.00 60.00°
Atoms (fractional coordinates):
Hg1 0.750 0.750 0.750
Pd1 0.500 0.500 0.500
K1 0.000 0.000 0.000
Hg2 0.250 0.250 0.250

---

Ce2ZrZn: relaxed, PBE-GGA.

Results
Energy of formation = -0.03 eV/atom
SG = P4/mmm, No. 123
Magnetic moment = 0.0012 μB per atom
Density of states at the Fermi level = 9.12 states/eV/cell
Distance to the lowest polymorph of the same formula = 5 meV/atom
E = -5.450 eV/atom

Cell: 4.914 4.306 4.306 Å, 90.00 90.00 90.00°
Atoms (fractional coordinates):
Ce1 0.000 0.500 0.000
Ce2 0.000 0.000 0.500
Zn1 0.500 0.500 0.500
Zr1 0.500 0.000 0.000